A relaxed NdZn3Ga4 crystal, computed with PBE.

Lattice parameters (Å, degrees): 4.392 4.392 7.864 90.00 90.00 90.00
Space group P4/mmm (No. 123)
Asymmetric unit:
Nd  0.000  0.000  0.000 (multiplicity 1)
Zn  0.000  0.000  0.500 (multiplicity 1)
Zn  0.500  0.500  0.152 (multiplicity 2)
Ga  0.000  0.500  0.323 (multiplicity 4)

Results
Calculated formation energy, eV/atom: -0.28
D(E_F), states/eV/cell: 1.26
Size of the total moment, Bohr magnetons per cell: 0.00
E_tot, eV/atom: -2.867